(1)
# NaBi2F PBE relaxed
# - E_form (uncorrected): -0.696 eV per atom
# - E above lowest polymorph: 0.000 eV per atom
# - Spin magnetization: 0.0 μB/cell
# - D(E_F): 0.420 states/eV/atom
# - Calculated density: 6.5 g/cm3
data_NaBi2F
_chemical_formula_sum 'Na4 Bi8 F4'
_cell_length_a 4.340
_cell_length_b 4.340
_cell_length_c 24.912
_cell_angle_alpha 90.00
_cell_angle_beta 90.00
_cell_angle_gamma 90.00
_space_group_name_H-M_alt 'I -4 2 d'
_space_group_IT_number 122
_space_group_name_Hall 'I -4 2bw'
loop_
_atom_site_label
_atom_site_type_symbol
_atom_site_fract_x
_atom_site_fract_y
_atom_site_fract_z
Na1 Na 0.000 0.000 0.000
Bi1 Bi 0.239 0.250 0.125
F1 F 0.000 0.000 0.500

***

(2)
# Na3BiF7 PBE relaxed
# - E_form (uncorrected): -2.488 eV per atom
# - Spin magnetization: 0.6 μB/cell
# - D(E_F): 0.397 states/eV/atom
# - Calculated density: 4.1 g/cm3
data_Na3BiF7
_chemical_formula_sum 'Na6 Bi2 F14'
_cell_length_a 7.943
_cell_length_b 7.875
_cell_length_c 6.561
_cell_angle_alpha 90.00
_cell_angle_beta 124.85
_cell_angle_gamma 90.00
_space_group_name_H-M_alt 'C 1 m 1'
_space_group_IT_number 8
loop_
_space_group_symop_operation_xyz
'x,y,z'
'x,-y,z'
'x+1/2,y+1/2,z'
'x+1/2,-y+1/2,z'
loop_
_atom_site_label
_atom_site_type_symbol
_atom_site_fract_x
_atom_site_fract_y
_atom_site_fract_z
Na1 Na 0.000 0.000 0.000
Na2 Na 0.486 0.230 0.446
Bi1 Bi 0.038 0.500 0.985
F1 F 0.124 0.262 0.206
F2 F 0.145 0.500 0.734
F3 F 0.336 0.000 0.116
F4 F 0.342 0.193 0.708
F5 F 0.383 0.500 0.253

***

(3)
# NaBiF2 PBE relaxed
# - E_form (uncorrected): -1.380 eV per atom
# - E above lowest polymorph: 0.735 eV per atom
# - Spin magnetization: 0.0 μB/cell
# - D(E_F): 0.075 states/eV/atom
# - Calculated density: 6.5 g/cm3
data_NaBiF2
_chemical_formula_sum 'Na4 Bi4 F8'
_cell_length_a 6.505
_cell_length_b 6.505
_cell_length_c 6.505
_cell_angle_alpha 90.00
_cell_angle_beta 90.00
_cell_angle_gamma 90.00
_space_group_name_H-M_alt 'F m -3 m'
_space_group_IT_number 225
_space_group_name_Hall '-F 4 2 3'
loop_
_atom_site_label
_atom_site_type_symbol
_atom_site_fract_x
_atom_site_fract_y
_atom_site_fract_z
Na1 Na 0.000 0.000 0.000
Bi1 Bi 0.000 0.000 0.500
F1 F 0.250 0.250 0.250